# Pu2Ni4As3Ir, relaxed, DFT PBE-GGA
data_Pu2Ni4As3Ir
_space_group_name_H-M_alt 'P 1'
_space_group_IT_number 1
_space_group_name_Hall 'P 1'
_cell_length_a 3.993
_cell_length_b 3.993
_cell_length_c 10.160
_cell_angle_alpha 90.00
_cell_angle_beta 90.00
_cell_angle_gamma 90.00
loop_
_atom_site_label
_atom_site_fract_x
_atom_site_fract_y
_atom_site_fract_z
_atom_site_occupancy
Pu1 0.000 0.500 0.244 1
Pu2 0.500 0.000 0.756 1
Ni1 0.000 0.000 0.500 1
Ni2 0.000 0.500 0.854 1
Ni3 0.500 0.000 0.146 1
Ni4 0.500 0.500 0.500 1
As1 0.000 0.000 0.000 1
As2 0.000 0.500 0.628 1
As3 0.500 0.000 0.372 1
Ir1 0.500 0.500 0.000 1
# theoretical density = 11.68 g/cm³
# energy = -7.955 eV/atom
# E_form = -0.495 eV per atom


# PmSi2Pt, relaxed, DFT PBE-GGA
data_PmSi2Pt
_space_group_name_H-M_alt 'P 1'
_space_group_IT_number 1
_space_group_name_Hall 'P 1'
_cell_length_a 4.233
_cell_length_b 4.233
_cell_length_c 4.135
_cell_angle_alpha 90.00
_cell_angle_beta 90.00
_cell_angle_gamma 90.00
loop_
_atom_site_label
_atom_site_fract_x
_atom_site_fract_y
_atom_site_fract_z
_atom_site_occupancy
Pm1 0.000 0.000 0.000 1
Si1 0.000 0.500 0.500 1
Si2 0.500 0.000 0.500 1
Pt1 0.500 0.500 0.000 1
# theoretical density = 8.88 g/cm³
# energy = -5.849 eV/atom
# E_form (uncorrected) = -440 meV/atom
# offset from the most stable computed form = 0.574 eV per atom


# ScAl4Ir5, relaxed, DFT PBE-GGA
data_ScAl4Ir5
_space_group_name_H-M_alt 'P 1'
_space_group_IT_number 1
_space_group_name_Hall 'P 1'
_cell_length_a 2.992
_cell_length_b 2.992
_cell_length_c 16.073
_cell_angle_alpha 90.00
_cell_angle_beta 90.00
_cell_angle_gamma 90.00
loop_
_atom_site_label
_atom_site_fract_x
_atom_site_fract_y
_atom_site_fract_z
_atom_site_occupancy
Sc1 0.000 0.000 0.000 1
Al1 0.000 0.000 0.210 1
Al2 0.000 0.000 0.404 1
Al3 0.000 0.000 0.596 1
Al4 0.000 0.000 0.790 1
Ir1 0.500 0.500 0.119 1
Ir2 0.500 0.500 0.311 1
Ir3 0.500 0.500 0.500 1
Ir4 0.500 0.500 0.689 1
Ir5 0.500 0.500 0.881 1
# theoretical density = 12.85 g/cm³
# energy = -7.524 eV/atom
# E_form = -0.964 eV per atom


# RbBaSeCl, relaxed, DFT PBE-GGA
data_RbBaSeCl
_space_group_name_H-M_alt 'P 1'
_space_group_IT_number 1
_space_group_name_Hall 'P 1'
_cell_length_a 8.627
_cell_length_b 8.627
_cell_length_c 8.627
_cell_angle_alpha 31.66
_cell_angle_beta 31.66
_cell_angle_gamma 31.66
loop_
_atom_site_label
_atom_site_fract_x
_atom_site_fract_y
_atom_site_fract_z
_atom_site_occupancy
Rb1 0.000 0.000 0.000 1
Ba1 0.179 0.179 0.179 1
Se1 0.580 0.580 0.580 1
Cl1 0.766 0.766 0.766 1
# theoretical density = 3.56 g/cm³
# energy = -3.946 eV/atom
# E_form (uncorrected) = -1891 meV/atom
# offset from the most stable computed form = 0.000 eV per atom


# Pr2NdCu9, relaxed, DFT PBE-GGA
data_Pr2NdCu9
_space_group_name_H-M_alt 'P 1'
_space_group_IT_number 1
_space_group_name_Hall 'P 1'
_cell_length_a 8.983
_cell_length_b 8.983
_cell_length_c 8.983
_cell_angle_alpha 34.14
_cell_angle_beta 34.14
_cell_angle_gamma 34.14
loop_
_atom_site_label
_atom_site_fract_x
_atom_site_fract_y
_atom_site_fract_z
_atom_site_occupancy
Pr1 0.143 0.143 0.143 1
Pr2 0.857 0.857 0.857 1
Nd1 0.000 0.000 0.000 1
Cu1 0.086 0.577 0.577 1
Cu2 0.331 0.331 0.331 1
Cu3 0.423 0.423 0.914 1
Cu4 0.423 0.914 0.423 1
Cu5 0.500 0.500 0.500 1
Cu6 0.577 0.086 0.577 1
Cu7 0.577 0.577 0.086 1
Cu8 0.669 0.669 0.669 1
Cu9 0.914 0.423 0.423 1
# theoretical density = 8.14 g/cm³
# energy = -4.393 eV/atom
# E_form = -0.127 eV per atom


# Zn5CoCu, relaxed, DFT PBE-GGA
data_Zn5CoCu
_space_group_name_H-M_alt 'P 1'
_space_group_IT_number 1
_space_group_name_Hall 'P 1'
_cell_length_a 3.834
_cell_length_b 3.834
_cell_length_c 6.818
_cell_angle_alpha 90.00
_cell_angle_beta 90.00
_cell_angle_gamma 90.00
loop_
_atom_site_label
_atom_site_fract_x
_atom_site_fract_y
_atom_site_fract_z
_atom_site_occupancy
Zn1 0.000 0.000 0.000 1
Zn2 0.000 0.500 0.264 1
Zn3 0.000 0.500 0.736 1
Zn4 0.500 0.000 0.264 1
Zn5 0.500 0.000 0.736 1
Co1 0.500 0.500 0.000 1
Cu1 0.000 0.000 0.500 1
# theoretical density = 7.45 g/cm³
# energy = -2.469 eV/atom
# E_form = 0.041 eV per atom
# offset from the most stable computed form = 0.043 eV per atom


# La3SmSn2S, relaxed, DFT PBE-GGA
data_La3SmSn2S
_space_group_name_H-M_alt 'P 1'
_space_group_IT_number 1
_space_group_name_Hall 'P 1'
_cell_length_a 9.211
_cell_length_b 9.211
_cell_length_c 9.211
_cell_angle_alpha 146.91
_cell_angle_beta 146.35
_cell_angle_gamma 47.91
loop_
_atom_site_label
_atom_site_fract_x
_atom_site_fract_y
_atom_site_fract_z
_atom_site_occupancy
La1 0.000 0.000 0.000 1
La2 0.328 0.828 0.500 1
La3 0.672 0.172 0.500 1
Sm1 0.500 0.500 0.000 1
Sn1 0.133 0.633 0.500 1
Sn2 0.867 0.367 0.500 1
S1 0.500 0.000 0.500 1
# theoretical density = 5.90 g/cm³
# energy = -5.473 eV/atom
# E_form (uncorrected) = -954 meV/atom


# ZnInPb2, relaxed, DFT PBE-GGA
data_ZnInPb2
_space_group_name_H-M_alt 'P 1'
_space_group_IT_number 1
_space_group_name_Hall 'P 1'
_cell_length_a 6.073
_cell_length_b 6.073
_cell_length_c 6.073
_cell_angle_alpha 135.40
_cell_angle_beta 135.40
_cell_angle_gamma 64.90
loop_
_atom_site_label
_atom_site_fract_x
_atom_site_fract_y
_atom_site_fract_z
_atom_site_occupancy
Zn1 0.000 0.000 0.000 1
In1 0.250 0.750 0.500 1
Pb1 0.500 0.500 0.000 1
Pb2 0.750 0.250 0.500 1
# theoretical density = 9.07 g/cm³
# energy = -2.733 eV/atom
# E_form = 0.124 eV per atom